one.
The following is a DFT calculation (GGA+U) of a relaxed structure of Pb3WF.

Lattice parameters (Å, degrees): 5.078 5.078 5.078 90.00 90.00 90.00
Site moments in Bohr magnetons follow the coordinates.
Atoms (fractional coordinates):
F 0.000 0.000 0.000  -0.03
W 0.500 0.500 0.500  3.51
Pb 0.500 0.000 0.000  0.03
Pb 0.000 0.000 0.500  -0.03
Pb 0.000 0.500 0.000  -0.05

Results
As for the magnetic moment: 4.31 μB per cell. For the density of states at the Fermi level, the calculation gives 2.870 states/eV/cell. The calculation puts the calculated density at 10454 kg/m3.

two.
The following is a DFT calculation (GGA+U) of a relaxed structure of Pb3WF.

Lattice parameters (Å, degrees): 5.449 5.449 5.449 90.00 90.00 90.00
Site moments in Bohr magnetons follow the coordinates.
Atoms (fractional coordinates):
Pb 0.000 0.000 0.500  -0.03
Pb 0.000 0.500 0.000  -0.10
Pb 0.500 0.000 0.000  -0.15
W 0.000 0.000 0.000  1.49
F 0.500 0.500 0.500  -0.05

Results
As for the magnetic moment: 1.00 μB per cell. For the density of states at the Fermi level, the calculation gives 1.198 states/eV/cell. The calculation puts the calculated density at 8464 kg/m3.

Computed stability ranking, most favorable first: one, two